# Er2AgGe2

A relaxed structure of Er2AgGe2 (GGA-PBE, Alexandria).

```
20
Lattice="7.0924 0.0000 0.0000 0.0000 7.0924 0.0000 0.0000 0.0000 8.4802" Properties=species:S:1:pos:R:3 pbc="T T T"
Er 1.2429 2.3032 0.0000
Er 1.2431 2.3033 4.2401
Er 2.3032 5.8495 0.0000
Er 2.3033 5.8494 4.2401
Er 4.7893 1.2429 0.0000
Er 4.7891 1.2431 4.2401
Er 5.8495 4.7893 0.0000
Er 5.8494 4.7891 4.2401
Ag 0.0000 0.0000 2.1232
Ag 0.0000 0.0000 6.3569
Ag 3.5462 3.5462 2.1168
Ag 3.5462 3.5462 6.3633
Ge 0.9002 4.4464 2.1200
Ge 0.9002 4.4464 6.3601
Ge 2.6460 0.9002 2.1200
Ge 2.6460 0.9002 6.3601
Ge 4.4464 6.1922 2.1200
Ge 4.4464 6.1922 6.3601
Ge 6.1922 2.6460 2.1200
Ge 6.1922 2.6460 6.3601
```

Energy of formation from the pure elements, eV per atom: -0.698
Raw total energy, eV per atom: -4.94
SG: P4/mnc, No. 128

# Tb5Ho12Sc

A relaxed structure of Tb5Ho12Sc (GGA-PBE, Alexandria).

```
18
Lattice="3.0576 -5.2937 0.0000 3.0576 5.2937 0.0000 -2.0428 0.0000 17.1210" Properties=species:S:1:pos:R:3 pbc="T T T"
Tb 0.0000 0.0000 0.0000
Tb 2.0362 3.5288 8.5605
Tb 3.0576 1.7645 0.0000
Tb 3.0576 -1.7645 0.0000
Tb 2.0362 -3.5288 8.5605
Ho 1.0200 1.7656 2.8670
Ho 0.0144 0.0000 5.7175
Ho 1.0213 1.7533 11.4043
Ho -0.0080 0.0000 14.2534
Ho 1.0200 -1.7656 2.8670
Ho 3.0510 1.7533 5.7167
Ho 1.0213 -1.7533 11.4043
Ho 3.0523 1.7656 14.2539
Ho 4.0804 0.0000 2.8676
Ho 3.0510 -1.7533 5.7167
Ho 4.0579 0.0000 11.4035
Ho 3.0523 -1.7656 14.2539
Sc 2.0362 0.0000 8.5605
```

Energy of formation from the pure elements, eV per atom: 0.013
Raw total energy, eV per atom: -4.68
SG: C2/m, No. 12